This record from the Alexandria database describes a geometry-optimized Ta2AlAg structure. The functional is GGA-PBEsol.

CIF file:
```
data_Ta2AlAg
_chemical_formula_sum 'Ta2 Al1 Ag1'
_space_group_name_H-M_alt 'P 1'
_space_group_IT_number 1
_cell_length_a 2.8290
_cell_length_b 2.8290
_cell_length_c 8.2485
_cell_angle_alpha 90.00
_cell_angle_beta 90.00
_cell_angle_gamma 90.00
loop_
_space_group_symop_operation_xyz
'x,y,z'
loop_
_atom_site_label
_atom_site_type_symbol
_atom_site_fract_x
_atom_site_fract_y
_atom_site_fract_z
Ta1 Ta 0.0000 0.0000 0.2353
Ta2 Ta 0.0000 0.0000 0.7647
Al1 Al 0.5000 0.5000 0.0000
Ag1 Ag 0.5000 0.5000 0.5000
```

Results
The calculation puts the energy of formation from the pure elements at 0.01 eV/atom.

This record from the Alexandria database describes a geometry-optimized V2CoP2O10 structure. The functional is GGA-PBEsol.

CIF file:
```
data_V2CoP2O10
_chemical_formula_sum 'V4 Co2 P4 O20'
_space_group_name_H-M_alt 'P 1'
_space_group_IT_number 1
_cell_length_a 7.2643
_cell_length_b 7.2374
_cell_length_c 7.4176
_cell_angle_alpha 90.00
_cell_angle_beta 120.37
_cell_angle_gamma 90.00
loop_
_space_group_symop_operation_xyz
'x,y,z'
loop_
_atom_site_label
_atom_site_type_symbol
_atom_site_fract_x
_atom_site_fract_y
_atom_site_fract_z
V1 V 0.2493 0.2256 0.2066
V2 V 0.2493 0.2744 0.7066
V3 V 0.7507 0.7256 0.2934
V4 V 0.7507 0.7744 0.7934
Co1 Co 0.5000 0.0000 0.0000
Co2 Co 0.5000 0.5000 0.5000
P1 P 0.2449 0.6211 0.9971
P2 P 0.2449 0.8789 0.4971
P3 P 0.7551 0.1211 0.5029
P4 P 0.7551 0.3789 0.0029
O1 O 0.0488 0.7443 0.9169
O2 O 0.0488 0.7557 0.4169
O3 O 0.2368 0.5035 0.8227
O4 O 0.2368 0.9965 0.3227
O5 O 0.2752 0.0054 0.6802
O6 O 0.2752 0.4946 0.1802
O7 O 0.2810 0.1506 0.0119
O8 O 0.2810 0.3494 0.5119
O9 O 0.4406 0.7475 0.5897
O10 O 0.4406 0.7525 0.0897
O11 O 0.5594 0.2475 0.9103
O12 O 0.5594 0.2525 0.4103
O13 O 0.7190 0.6506 0.4881
O14 O 0.7190 0.8494 0.9881
O15 O 0.7248 0.5054 0.8198
O16 O 0.7248 0.9946 0.3198
O17 O 0.7632 0.0035 0.6773
O18 O 0.7632 0.4965 0.1773
O19 O 0.9512 0.2443 0.5831
O20 O 0.9512 0.2557 0.0831
```

Results
The uncorrected formation energy is -2077 meV/atom.

This record from the Alexandria database describes a geometry-optimized KCd4Pb structure. The functional is GGA-PBEsol.

CIF file:
```
data_KCd4Pb
_chemical_formula_sum 'K1 Cd4 Pb1'
_space_group_name_H-M_alt 'P 1'
_space_group_IT_number 1
_cell_length_a 5.9968
_cell_length_b 5.9968
_cell_length_c 5.9968
_cell_angle_alpha 60.00
_cell_angle_beta 60.00
_cell_angle_gamma 60.00
loop_
_space_group_symop_operation_xyz
'x,y,z'
loop_
_atom_site_label
_atom_site_type_symbol
_atom_site_fract_x
_atom_site_fract_y
_atom_site_fract_z
K1 K 0.0000 0.0000 0.0000
Cd1 Cd 0.1250 0.6250 0.6250
Cd2 Cd 0.6250 0.1250 0.6250
Cd3 Cd 0.6250 0.6250 0.1250
Cd4 Cd 0.6250 0.6250 0.6250
Pb1 Pb 0.2500 0.2500 0.2500
```

Results
The calculation puts the energy of formation from the pure elements at -0.03 eV/atom.

Fermi-level density of states values (in states/eV/cell) by entry order: 1.9 19.0 2.5.